Record 1
VASP calculation (PBE-GGA) on crystalline Pr3DyBi2 at its relaxed geometry.

Cell: 4.672 4.672 9.024 Å, 90.00 90.00 90.00°
Atoms (fractional coordinates):
Pr 0.000 0.000 0.000
Pr 0.000 0.500 0.648
Pr 0.500 0.000 0.352
Dy 0.500 0.500 0.000
Bi 0.000 0.500 0.278
Bi 0.500 0.000 0.722

Mass density   8.46 g cm⁻³
DFT formation energy   -654 meV/atom
SG   No. 115



Record 2
VASP calculation (PBE-GGA) on crystalline ZnFeSb2As at its relaxed geometry.

Cell: 5.141 5.141 4.472 Å, 90.00 90.00 90.00°
Atoms (fractional coordinates):
Zn 0.000 0.000 0.000
Fe 0.000 0.000 0.500
Sb 0.000 0.500 0.000
Sb 0.500 0.000 0.000
As 0.500 0.500 0.500

Mass density   6.18 g cm⁻³
SG   No. 123
Raw formation energy   1095.3 meV/atom



Record 3
VASP calculation (PBE-GGA) on crystalline Yb2InAu2 at its relaxed geometry.

Cell: 7.925 7.925 3.810 Å, 90.00 90.00 90.00°
Atoms (fractional coordinates):
Yb 0.170 0.330 0.000
Yb 0.330 0.830 0.000
Yb 0.670 0.170 0.000
Yb 0.830 0.670 0.000
In 0.000 0.000 0.500
In 0.500 0.500 0.500
Au 0.130 0.630 0.500
Au 0.370 0.130 0.500
Au 0.630 0.870 0.500
Au 0.870 0.370 0.500

Mass density   11.86 g cm⁻³
DFT formation energy   -832 meV/atom
SG   No. 127



What magnetization values result from the calculations? In sequence: 0.00 0.27 0.00 μB per cell.